Record 1
BaBe2Sb (PBE, optimized geometry); formation energy (no corrections) = 156 meV per atom; electronic total energy = -3.22 eV/atom; SG = P-1
1.0
0.086 -3.081 5.582
1.263 -3.560 -2.772
2.577 3.014 0.234
Ba Sb Be
1 1 2
direct
0.250 0.750 0.500
0.750 0.250 0.500
0.825 0.877 0.850
0.675 0.623 0.150



Record 2
TaIrW (PBE, optimized geometry); ΔE_f = -0.021 eV per atom; electronic total energy = -11.24 eV/atom; SG = P3m1; relative energy among the computed polymorphs = 204 meV/atom
1.0
2.816 0.000 0.000
-1.408 2.438 0.000
0.000 0.000 7.134
W Ir Ta
1 1 1
direct
0.333 0.667 0.680
0.000 0.000 0.995
0.667 0.333 0.325



Record 3
Dy2YTaO7 (PBE, optimized geometry); formation energy (no corrections) = -3411 meV per atom; electronic total energy = -9.07 eV/atom; SG = Cmcm
1.0
6.469 -0.001 0.000
-2.143 6.103 0.000
0.000 0.000 7.515
O Y Ta Dy
14 2 2 4
direct
0.933 0.067 0.750
0.370 0.630 0.750
0.067 0.933 0.250
0.630 0.370 0.250
0.679 0.929 0.033
0.071 0.321 0.467
0.638 0.362 0.750
0.929 0.679 0.967
0.929 0.679 0.533
0.362 0.638 0.250
0.679 0.929 0.467
0.321 0.071 0.967
0.321 0.071 0.533
0.071 0.321 0.033
0.500 0.500 0.000
0.500 0.500 0.500
0.000 0.000 0.500
0.000 0.000 0.000
0.000 0.465 0.750
0.465 0.000 0.250
0.000 0.535 0.250
0.535 0.000 0.750



Record 4
Sm5PaN6 (PBE, optimized geometry); formation energy (no corrections) = -1580 meV per atom; electronic total energy = -8.50 eV/atom; SG = C2/m
1.0
6.104 0.152 0.929
1.503 5.183 3.022
0.104 0.057 6.179
N Pa Sm
6 1 5
direct
0.761 0.393 0.687
0.239 0.607 0.313
0.239 0.920 0.687
0.761 0.080 0.313
0.762 0.766 0.000
0.238 0.234 0.000
0.000 0.000 0.000
0.500 0.500 0.000
0.000 0.666 0.667
0.500 0.167 0.665
0.500 0.833 0.335
0.000 0.334 0.333



Record 5
TaTc4B2 (PBE, optimized geometry); ΔE_f = -0.053 eV per atom; electronic total energy = -9.58 eV/atom; SG = Cmmm
1.0
3.725 0.000 0.000
0.000 3.763 0.000
0.000 -1.881 6.436
Tc B Ta
4 2 1
direct
0.000 0.324 0.648
0.000 0.676 0.352
0.500 0.172 0.344
0.500 0.828 0.656
0.500 0.432 0.864
0.500 0.568 0.136
0.000 0.000 0.000



Record 6
LaPm4Er2Th (PBE, optimized geometry); ΔE_f = 0.042 eV per atom; electronic total energy = -5.02 eV/atom; SG = P2/m
1.0
5.105 0.000 0.000
0.000 4.955 1.179
0.000 2.580 11.223
Pm Er Th La
4 2 1 1
direct
0.000 0.245 0.255
0.000 0.755 0.745
0.500 0.256 0.743
0.500 0.744 0.257
0.500 0.000 0.500
0.000 0.000 0.000
0.000 0.500 0.500
0.500 0.500 0.000



Record 7
CuHgO2 (PBE, optimized geometry); formation energy (no corrections) = -257 meV per atom; electronic total energy = -3.84 eV/atom; SG = I4_1/amd
1.0
-3.471 3.927 -3.238
-5.013 -3.316 1.353
3.447 2.760 5.513
O Cu Hg
8 4 4
direct
0.046 0.849 0.697
0.651 0.849 0.697
0.704 0.401 0.803
0.099 0.401 0.803
0.599 0.901 0.197
0.599 0.296 0.197
0.151 0.954 0.303
0.151 0.349 0.303
0.875 0.625 0.750
0.875 0.125 0.250
0.875 0.125 0.750
0.375 0.125 0.250
0.375 0.625 0.750
0.375 0.625 0.250
0.875 0.625 0.250
0.375 0.125 0.750



Record 8
ZrNiBi2Mo (PBE, optimized geometry); ΔE_f = 0.918 eV per atom; electronic total energy = -5.67 eV/atom; SG = P4/mmm
1.0
5.319 0.000 0.000
0.000 4.527 0.000
0.000 0.000 5.319
Bi Zr Ni Mo
2 1 1 1
direct
0.500 0.000 0.000
0.000 0.000 0.500
0.500 0.500 0.500
0.000 0.500 0.000
0.000 0.000 0.000



Record 9
YZn6Cu2 (PBE, optimized geometry); ΔE_f = 0.252 eV per atom; electronic total energy = -2.23 eV/atom; SG = Fd-3m
1.0
-1.974 2.696 -7.291
4.404 -2.079 -6.372
-2.991 -5.048 -5.468
Zn Y Cu
12 2 4
direct
0.010 0.010 0.490
0.010 0.490 0.490
0.490 0.010 0.490
0.240 0.760 0.760
0.760 0.760 0.240
0.010 0.490 0.010
0.760 0.240 0.760
0.490 0.490 0.010
0.760 0.240 0.240
0.240 0.240 0.760
0.240 0.760 0.240
0.490 0.010 0.010
0.500 0.500 0.500
0.750 0.750 0.750
0.125 0.125 0.625
0.125 0.625 0.125
0.125 0.125 0.125
0.625 0.125 0.125



Record 10
TaCoCuSn2 (PBE, optimized geometry); ΔE_f = 0.876 eV per atom; electronic total energy = -5.34 eV/atom; SG = P4/mmm
1.0
-0.480 -0.214 -4.693
0.549 -4.416 0.146
-4.661 -0.563 0.503
Ta Co Cu Sn
1 1 1 2
direct
0.500 0.500 0.500
0.000 0.000 0.000
0.000 0.500 0.000
0.000 0.000 0.500
0.500 0.000 0.000



Record 11
BeRe2Pb (PBE, optimized geometry); ΔE_f = 1.035 eV per atom; electronic total energy = -7.05 eV/atom; SG = I4/mmm; relative energy among the computed polymorphs = 710 meV/atom
1.0
5.091 0.000 0.000
2.161 4.609 0.000
-3.626 -2.305 2.731
Pb Re Be
1 2 1
direct
0.750 0.250 0.500
0.000 0.000 0.000
0.500 0.500 0.000
0.250 0.750 0.500



Record 12
CaMg (PBE, optimized geometry); ΔE_f = 0.153 eV per atom; electronic total energy = -1.65 eV/atom; SG = P6_3/mmc
1.0
5.316 0.000 0.000
-2.658 4.604 0.000
0.000 0.000 5.974
Mg Ca
2 2
direct
0.000 0.000 0.000
0.000 0.000 0.500
0.333 0.667 0.250
0.667 0.333 0.750



> electronic total energy of number 12 (CaMg)?

-1.65 eV/atom



> Which value of electronic total energy does entry 3 give?

-9.07 eV/atom